Record 1
# La4Dy4Ho3

Crystalline La4Dy4Ho3 at its relaxed geometry (PBE-GGA, Alexandria).

abc: 12.0965 12.0965 12.0965
angles: 162.78 133.67 49.79
Closest atoms and distances in Å follow each position.
Element x y z (fractional)
La (0.0244, 0.8548, 0.1696)  1 La 3.23, 3 Dy 3.47-3.59
La (0.3148, 0.1452, 0.1696)  1 La 3.23, 3 Dy 3.47-3.59
La (0.6852, 0.8548, 0.8304)  1 La 3.23, 3 Dy 3.47-3.59
La (0.9756, 0.1452, 0.8304)  1 La 3.23, 3 Dy 3.47-3.59
Dy (0.2658, 0.7658, 0.5000)  2 Ho 3.39, 6 La 3.59-3.70, 2 Dy 3.62
Dy (0.3147, 0.0000, 0.3147)  6 Ho 3.40-3.50, 2 La 3.47, 3 Dy 3.53-3.62
Dy (0.6853, 0.0000, 0.6853)  6 Ho 3.40-3.50, 2 La 3.47, 3 Dy 3.53-3.62
Dy (0.7342, 0.2342, 0.5000)  2 Ho 3.39, 6 La 3.59-3.70, 2 Dy 3.62
Ho (0.0000, 0.5000, 0.5000)  4 Dy 3.50, 2 Ho 3.62
Ho (0.3962, 0.3962, 0.0000)  6 Dy 3.39-3.40, 2 Ho 3.62, 4 La 3.74
Ho (0.6038, 0.6038, 0.0000)  6 Dy 3.39-3.40, 2 Ho 3.62, 4 La 3.74

Summary:
Its formation energy is 129 kJ/mol of formula units. Its total energy is -4.592 eV per atom. The calculation puts the energy above the most stable polymorph in this dataset at 55 meV/atom. The space group is No. 71. The total magnetic moment comes out at 0.000 μB per atom.


Record 2
# La3Dy4Ho4

Crystalline La3Dy4Ho4 at its relaxed geometry (PBE-GGA, Alexandria).

abc: 9.6711 9.6711 9.6711
angles: 149.73 120.53 68.19
Closest atoms and distances in Å follow each position.
Element x y z (fractional)
La (0.0000, 0.0000, 0.0000)  6 Ho 4.04-4.06, 8 Dy 4.20
La (0.3827, 0.8827, 0.5000)  6 Ho 3.27-3.54
La (0.6173, 0.1173, 0.5000)  6 Ho 3.27-3.54
Dy (0.0035, 0.3211, 0.6824)  4 Ho 3.20-3.29, 1 Dy 3.50
Dy (0.3612, 0.6789, 0.6824)  4 Ho 3.20-3.29, 1 Dy 3.50
Dy (0.6388, 0.3211, 0.3176)  4 Ho 3.20-3.29, 1 Dy 3.50
Dy (0.9965, 0.6789, 0.3176)  4 Ho 3.20-3.29, 1 Dy 3.50
Ho (0.2525, 0.2525, 0.0000)  6 Dy 3.24-3.29, 2 La 3.27
Ho (0.3317, 0.5000, 0.8317)  2 Dy 3.20, 1 Ho 3.23, 4 La 3.54
Ho (0.6683, 0.5000, 0.1683)  2 Dy 3.20, 1 Ho 3.23, 4 La 3.54
Ho (0.7475, 0.7475, 0.0000)  6 Dy 3.24-3.29, 2 La 3.27

Summary:
Its formation energy is 357 kJ/mol of formula units. Its total energy is -4.345 eV per atom. The calculation puts the energy above the most stable polymorph in this dataset at 178 meV/atom. The space group is No. 71. The total magnetic moment comes out at 0.000 μB per atom.


Record 3
# LaDy5Ho2

Crystalline LaDy5Ho2 at its relaxed geometry (PBE-GGA, Alexandria).

abc: 7.1158 7.1158 10.0743
angles: 90.00 90.00 90.00
Closest atoms and distances in Å follow each position.
Element x y z (fractional)
La (0.0000, 0.0000, 0.0000)  4 Ho 3.56, 8 Dy 3.56
La (0.5000, 0.5000, 0.5000)  4 Ho 3.56, 8 Dy 3.56
Dy (0.0000, 0.0000, 0.5000)  4 Ho 3.56, 8 Dy 3.56
Dy (0.2500, 0.2500, 0.2500)  6 Dy 3.56, 2 La 3.56, 4 Ho 3.56
Dy (0.2500, 0.2500, 0.7500)  6 Dy 3.56, 2 La 3.56, 4 Ho 3.56
Dy (0.2500, 0.7500, 0.2500)  6 Dy 3.56, 2 La 3.56, 4 Ho 3.56
Dy (0.2500, 0.7500, 0.7500)  6 Dy 3.56, 2 La 3.56, 4 Ho 3.56
Dy (0.5000, 0.5000, 0.0000)  4 Ho 3.56, 8 Dy 3.56
Dy (0.7500, 0.2500, 0.2500)  6 Dy 3.56, 2 La 3.56, 4 Ho 3.56
Dy (0.7500, 0.2500, 0.7500)  6 Dy 3.56, 2 La 3.56, 4 Ho 3.56
Dy (0.7500, 0.7500, 0.2500)  6 Dy 3.56, 2 La 3.56, 4 Ho 3.56
Dy (0.7500, 0.7500, 0.7500)  6 Dy 3.56, 2 La 3.56, 4 Ho 3.56
Ho (0.0000, 0.5000, 0.0000)  2 La 3.56, 10 Dy 3.56
Ho (0.0000, 0.5000, 0.5000)  2 La 3.56, 10 Dy 3.56
Ho (0.5000, 0.0000, 0.0000)  2 La 3.56, 10 Dy 3.56
Ho (0.5000, 0.0000, 0.5000)  2 La 3.56, 10 Dy 3.56

Summary:
Its formation energy is 15 kJ/mol of formula units. Its total energy is -4.617 eV per atom. The calculation puts the energy above the most stable polymorph in this dataset at 0 meV/atom. The space group is No. 139. The total magnetic moment comes out at 0.000 μB per atom.


> total magnetic moment of number 3 (LaDy5Ho2)?

0.000 μB per atom